{"formula": "SiSeIBr2", "functional": "PBE-GGA", "state": "optimized geometry", "m_tot_mub_per_cell": 0.7, "e_tot_ev_per_cell": -9.5, "e_form_raw_kj_per_mol_atoms": 83.1, "e_above_lowest_polymorph_mev_per_atom": 707.9, "lattice": [[5.702, 0.000, 0.000], [0.000, 5.702, 0.000], [0.000, 0.000, 5.490]], "species": ["Si", "Se", "I", "Br", "Br"], "fractional_positions": [[0.000, 0.000, 0.000], [0.500, 0.500, 0.000], [0.500, 0.500, 0.500], [0.000, 0.500, 0.500], [0.500, 0.000, 0.500]]}



{"formula": "SiSeIBr2", "functional": "PBE-GGA", "state": "optimized geometry", "m_tot_mub_per_cell": 0.0, "e_tot_ev_per_cell": -13.0, "e_form_raw_kj_per_mol_atoms": 14.8, "e_above_lowest_polymorph_mev_per_atom": 0.0, "lattice": [[4.905, 0.000, 0.000], [0.000, 4.905, 0.000], [0.000, 0.000, 5.697]], "species": ["Si", "Se", "I", "Br", "Br"], "fractional_positions": [[0.000, 0.000, 0.000], [0.000, 0.000, 0.500], [0.500, 0.500, 0.500], [0.000, 0.500, 0.000], [0.500, 0.000, 0.000]]}